First-principles (GGA-PBE) data for a relaxed structure of BaNiSe3, as listed in the Alexandria database.

a = 6.151 Å, b = 6.151 Å, c = 6.151 Å
α = 90.00°, β = 90.00°, γ = 90.00°
Atoms (fractional coordinates):
Ni  0.500  0.500  0.500
Se  0.000  0.500  0.000
Se  0.000  0.000  0.500
Se  0.500  0.000  0.000
Ba  0.000  0.000  0.000

Summary:
Offset from the most stable computed form   1.649 eV per atom
Energy relative to the elements, uncorrected   0.874 eV per atom
E_tot   -0.20270 Ry per atom